Material: TiV2Mo
Method: DFT, PBE
State: relaxed

The structure belongs to space group R-3m (No. 166, hexagonal axes); the cell edges are 2.9342, 2.9342 and 24.7584 Å and the angles 90.00°, 90.00° and 120.00°. The asymmetric unit holds Ti at (0.0000, 0.0000, 0.0000), V at (0.0000, 0.0000, 0.2454) and Mo at (0.0000, 0.0000, 0.5000).

The density of states at the Fermi level is 19.79 states/eV/cell. The calculation puts the excess energy over the best structure of this formula in the dataset at 273.1 meV per atom.